# 1
This record from Alexandria describes an optimized crystal structure of ScTlRe2. The functional is PBE.

The structure in CIF format:
```
data_ScTlRe2
_chemical_formula_sum 'Sc1 Tl1 Re2'
_cell_length_a 9.558
_cell_length_b 9.558
_cell_length_c 9.558
_cell_angle_alpha 18.10
_cell_angle_beta 18.10
_cell_angle_gamma 18.10
_space_group_name_H-M_alt 'P 1'
_space_group_IT_number 1
loop_
_space_group_symop_operation_xyz
'x,y,z'
loop_
_atom_site_label
_atom_site_type_symbol
_atom_site_fract_x
_atom_site_fract_y
_atom_site_fract_z
Re1 Re 0.992 0.992 0.992
Re2 Re 0.254 0.254 0.254
Sc1 Sc 0.507 0.507 0.507
Tl1 Tl 0.747 0.747 0.747
```

**Total magnetization**: 0.00 μB/atom
**Space-group type**: R3m, No. 160
**Uncorrected energy**: -32.2 eV for the cell shown
**Calculated formation energy**: 361 meV/atom
**Relative energy among the computed polymorphs**: 297 meV per atom



# 2
This record from Alexandria describes an optimized crystal structure of ScTl2Re. The functional is PBE.

The structure in CIF format:
```
data_ScTl2Re
_chemical_formula_sum 'Sc1 Tl2 Re1'
_cell_length_a 4.838
_cell_length_b 3.021
_cell_length_c 5.834
_cell_angle_alpha 78.47
_cell_angle_beta 90.00
_cell_angle_gamma 90.00
_space_group_name_H-M_alt 'P 1'
_space_group_IT_number 1
loop_
_space_group_symop_operation_xyz
'x,y,z'
loop_
_atom_site_label
_atom_site_type_symbol
_atom_site_fract_x
_atom_site_fract_y
_atom_site_fract_z
Re1 Re 0.500 0.250 0.250
Sc1 Sc 0.500 0.750 0.750
Tl1 Tl 0.000 0.105 0.008
Tl2 Tl 0.000 0.395 0.492
```

**Total magnetization**: 0.00 μB/atom
**Space-group type**: P2/m, No. 10
**Uncorrected energy**: -21.5 eV for the cell shown
**Calculated formation energy**: 497 meV/atom
**Relative energy among the computed polymorphs**: 118 meV per atom



# 3
This record from Alexandria describes an optimized crystal structure of ScTl2Re. The functional is PBE.

The structure in CIF format:
```
data_ScTl2Re
_chemical_formula_sum 'Sc1 Tl2 Re1'
_cell_length_a 4.527
_cell_length_b 3.223
_cell_length_c 6.127
_cell_angle_alpha 72.30
_cell_angle_beta 90.00
_cell_angle_gamma 90.00
_space_group_name_H-M_alt 'P 1'
_space_group_IT_number 1
loop_
_space_group_symop_operation_xyz
'x,y,z'
loop_
_atom_site_label
_atom_site_type_symbol
_atom_site_fract_x
_atom_site_fract_y
_atom_site_fract_z
Re1 Re 0.000 0.506 0.509
Sc1 Sc 0.500 0.692 0.731
Tl1 Tl 0.000 0.024 0.989
Tl2 Tl 0.500 0.277 0.271
```

**Total magnetization**: 0.00 μB/atom
**Space-group type**: Pm, No. 6
**Uncorrected energy**: -21.4 eV for the cell shown
**Calculated formation energy**: 518 meV/atom
**Relative energy among the computed polymorphs**: 139 meV per atom



# 4
This record from Alexandria describes an optimized crystal structure of ScTl2Re. The functional is PBE.

The structure in CIF format:
```
data_ScTl2Re
_chemical_formula_sum 'Sc1 Tl2 Re1'
_cell_length_a 4.931
_cell_length_b 4.931
_cell_length_c 4.931
_cell_angle_alpha 60.00
_cell_angle_beta 60.00
_cell_angle_gamma 60.00
_space_group_name_H-M_alt 'P 1'
_space_group_IT_number 1
loop_
_space_group_symop_operation_xyz
'x,y,z'
loop_
_atom_site_label
_atom_site_type_symbol
_atom_site_fract_x
_atom_site_fract_y
_atom_site_fract_z
Re1 Re 0.500 0.500 0.500
Sc1 Sc 0.750 0.750 0.750
Tl1 Tl 0.000 0.000 0.000
Tl2 Tl 0.250 0.250 0.250
```

**Total magnetization**: 0.13 μB/atom
**Space-group type**: F-43m, No. 216
**Uncorrected energy**: -20.7 eV for the cell shown
**Calculated formation energy**: 711 meV/atom
**Relative energy among the computed polymorphs**: 332 meV per atom



# 5
This record from Alexandria describes an optimized crystal structure of ScTlRe2. The functional is PBE.

The structure in CIF format:
```
data_ScTlRe2
_chemical_formula_sum 'Sc1 Tl1 Re2'
_cell_length_a 5.354
_cell_length_b 5.354
_cell_length_c 5.354
_cell_angle_alpha 136.66
_cell_angle_beta 136.66
_cell_angle_gamma 62.96
_space_group_name_H-M_alt 'P 1'
_space_group_IT_number 1
loop_
_space_group_symop_operation_xyz
'x,y,z'
loop_
_atom_site_label
_atom_site_type_symbol
_atom_site_fract_x
_atom_site_fract_y
_atom_site_fract_z
Re1 Re 0.000 0.000 0.000
Re2 Re 0.500 0.500 0.000
Sc1 Sc 0.250 0.750 0.500
Tl1 Tl 0.750 0.250 0.500
```

**Total magnetization**: 0.00 μB/atom
**Space-group type**: I4/mmm, No. 139
**Uncorrected energy**: -31.4 eV for the cell shown
**Calculated formation energy**: 549 meV/atom
**Relative energy among the computed polymorphs**: 485 meV per atom



# 6
This record from Alexandria describes an optimized crystal structure of ScTl2Re. The functional is PBE.

The structure in CIF format:
```
data_ScTl2Re
_chemical_formula_sum 'Sc1 Tl2 Re1'
_cell_length_a 5.177
_cell_length_b 5.177
_cell_length_c 4.968
_cell_angle_alpha 73.27
_cell_angle_beta 73.27
_cell_angle_gamma 40.85
_space_group_name_H-M_alt 'P 1'
_space_group_IT_number 1
loop_
_space_group_symop_operation_xyz
'x,y,z'
loop_
_atom_site_label
_atom_site_type_symbol
_atom_site_fract_x
_atom_site_fract_y
_atom_site_fract_z
Re1 Re 0.750 0.750 0.750
Sc1 Sc 0.250 0.250 0.250
Tl1 Tl 0.008 0.008 0.984
Tl2 Tl 0.492 0.492 0.516
```

**Total magnetization**: 0.00 μB/atom
**Space-group type**: C2/m, No. 12
**Uncorrected energy**: -21.9 eV for the cell shown
**Calculated formation energy**: 399 meV/atom
**Relative energy among the computed polymorphs**: 20 meV per atom